Material: HfCuPt
Method: DFT, PBE
State: optimized geometry

a = 4.8321 Å, b = 4.8321 Å, c = 4.8321 Å
α = 138.34°, β = 138.34°, γ = 60.39°
Atoms (fractional coordinates):
Hf (0.0000, 0.0000, 0.0000)
Cu (0.3292, 0.3292, 0.0000)
Pt (0.6597, 0.6597, 0.0000)

DOS(E_F) = 1.42 states/eV per cell
total DFT energy (no corrections) = -22.4 eV/f.u.
density = 14.714 Mg/m³
excess energy over the best structure of this formula in the dataset = 0 meV per atom
formation energy = -2.3 eV per formula unit